Record 1
AcSm2Ag after structural relaxation, computed with PBE.

Cell lengths 3.8115, 3.8115, 32.1218 Å; angles 90.00, 90.00, 120.00 degrees
Space group R3m (No. 160, hexagonal axes)
Symmetry-distinct sites (fractional):
1 Ac 0.0000 0.0000 0.0000
2 Sm 0.0000 0.0000 0.2356
3 Sm 0.0000 0.0000 0.4310
4 Ag 0.0000 0.0000 0.8335

Summary:
- calculated formation energy (eV/atom) = 0.03
- energy (eV/cell) = -48.78

---

Record 2
AcSm2Ag3 after structural relaxation, computed with PBE.

Cell lengths 3.790, 3.790, 11.399 Å; angles 90.00, 90.00, 90.00 degrees
Space group P4/mmm (No. 123)
Symmetry-distinct sites (fractional):
1 Ac 0.000 0.000 0.000
2 Sm 0.000 0.000 0.340
3 Ag 0.500 0.500 0.189
4 Ag 0.500 0.500 0.500

Summary:
- calculated formation energy (eV/atom) = -0.27
- energy (eV/cell) = -23.71

---

Record 3
Ac2Sm3Ag4 after structural relaxation, computed with PBE.

Cell lengths 8.102, 8.033, 8.793 Å; angles 90.00, 109.52, 90.00 degrees
Space group P2_1/c (No. 14)
Symmetry-distinct sites (fractional):
1 Ac 0.193 0.167 0.087
2 Sm 0.246 0.655 0.250
3 Sm 0.500 0.000 0.500
4 Ag 0.093 0.548 0.883
5 Ag 0.489 0.631 0.617

Summary:
- calculated formation energy (eV/atom) = -0.20
- energy (eV/cell) = -71.18

---

Record 4
AcSm2Ag6 after structural relaxation, computed with PBE.

Cell lengths 8.3457, 8.3457, 3.6882 Å; angles 90.00, 90.00, 120.00 degrees
Space group P6/mmm (No. 191)
Symmetry-distinct sites (fractional):
1 Ac 0.0000 0.0000 0.0000
2 Sm 0.3333 0.6667 0.0000
3 Ag 0.0000 0.3367 0.5000

Summary:
- calculated formation energy (eV/atom) = -0.25
- energy (eV/cell) = -32.94

---

Record 5
Ac3Sm2Ag3 after structural relaxation, computed with PBE.

Cell lengths 3.903, 5.656, 23.134 Å; angles 90.00, 90.00, 90.00 degrees
Space group Immm (No. 71)
Symmetry-distinct sites (fractional):
1 Ac 0.000 0.000 0.000
2 Ac 0.000 0.500 0.122
3 Sm 0.000 0.000 0.232
4 Ag 0.000 0.000 0.500
5 Ag 0.000 0.500 0.375

Summary:
- calculated formation energy (eV/atom) = -0.19
- energy (eV/cell) = -63.60

---

Record 6
AcSm5Ag6 after structural relaxation, computed with PBE.

Cell lengths 5.332, 7.438, 8.432 Å; angles 90.00, 108.01, 90.00 degrees
Space group P2/m (No. 10)
Symmetry-distinct sites (fractional):
1 Ac 0.000 0.000 0.000
2 Sm 0.000 0.500 0.000
3 Sm 0.331 0.000 0.662
4 Sm 0.334 0.500 0.669
5 Ag 0.173 0.258 0.344
6 Ag 0.500 0.267 0.000

Summary:
- calculated formation energy (eV/atom) = -0.27
- energy (eV/cell) = -48.00

---

Record 7
AcSm2Ag2 after structural relaxation, computed with PBE.

Cell lengths 5.367, 5.076, 11.502 Å; angles 90.00, 94.77, 90.00 degrees
Space group P2_1/m (No. 11)
Symmetry-distinct sites (fractional):
1 Ac 0.203 0.250 0.245
2 Sm 0.251 0.750 0.495
3 Sm 0.338 0.250 0.888
4 Ag 0.146 0.750 0.004
5 Ag 0.272 0.250 0.633

Summary:
- calculated formation energy (eV/atom) = -0.15
- energy (eV/cell) = -39.95

---

Record 8
Ac4SmAg after structural relaxation, computed with PBE.

Cell lengths 3.940, 3.940, 14.843 Å; angles 90.00, 90.00, 90.00 degrees
Space group P4/mmm (No. 123)
Symmetry-distinct sites (fractional):
1 Ac 0.000 0.000 0.135
2 Ac 0.500 0.500 0.328
3 Sm 0.000 0.000 0.500
4 Ag 0.500 0.500 0.000

Summary:
- calculated formation energy (eV/atom) = -0.06
- energy (eV/cell) = -24.37

---

Record 9
Ac2SmAg6 after structural relaxation, computed with PBE.

Cell lengths 8.4168, 8.4168, 3.8100 Å; angles 90.00, 90.00, 120.00 degrees
Space group P6/mmm (No. 191)
Symmetry-distinct sites (fractional):
1 Ac 0.3333 0.6667 0.0000
2 Sm 0.0000 0.0000 0.0000
3 Ag 0.0000 0.3295 0.5000

Summary:
- calculated formation energy (eV/atom) = -0.27
- energy (eV/cell) = -32.45

---

Record 10
AcSm2Ag after structural relaxation, computed with PBE.

Cell lengths 3.785, 3.785, 8.899 Å; angles 90.00, 90.00, 90.00 degrees
Space group P4/mmm (No. 123)
Symmetry-distinct sites (fractional):
1 Ac 0.000 0.000 0.000
2 Sm 0.500 0.500 0.298
3 Ag 0.000 0.000 0.500

Summary:
- calculated formation energy (eV/atom) = -0.10
- energy (eV/cell) = -16.80

---

Record 11
Ac2SmAg after structural relaxation, computed with PBE.

Cell lengths 3.9517, 3.9517, 32.6051 Å; angles 90.00, 90.00, 120.00 degrees
Space group R3m (No. 160, hexagonal axes)
Symmetry-distinct sites (fractional):
1 Ac 0.0000 0.0000 0.0000
2 Ac 0.0000 0.0000 0.1853
3 Sm 0.0000 0.0000 0.7600
4 Ag 0.0000 0.0000 0.5919

Summary:
- calculated formation energy (eV/atom) = 0.01
- energy (eV/cell) = -47.19

---

Record 12
Ac2Sm3Ag2 after structural relaxation, computed with PBE.

Cell lengths 11.530, 5.206, 8.607 Å; angles 90.00, 116.26, 90.00 degrees
Space group C2/m (No. 12)
Symmetry-distinct sites (fractional):
1 Ac 0.126 0.000 0.270
2 Sm 0.000 0.500 0.500
3 Sm 0.142 0.500 0.964
4 Ag 0.143 0.000 0.676

Summary:
- calculated formation energy (eV/atom) = -0.08
- energy (eV/cell) = -57.24

---

Q: What is the formula in the seventh record?
A: AcSm2Ag2